w | Below is a relaxed structure of TlCdIn2Rh, with properties calculated at the PBE level.

abc: 5.141 5.141 5.294
angles: 90.00 90.00 90.00
Element x y z (fractional)
Tl  0.000  0.000  0.000
Cd  0.500  0.500  0.000
In  0.000  0.500  0.500
In  0.500  0.000  0.500
Rh  0.500  0.500  0.500

Computed properties:
crystal system: tetragonal

x | Below is a relaxed structure of TlCdIn2Rh, with properties calculated at the PBE level.

abc: 5.189 5.189 5.296
angles: 90.00 90.00 90.00
Element x y z (fractional)
Tl  0.000  0.000  0.000
Cd  0.500  0.500  0.000
In  0.000  0.500  0.500
In  0.500  0.000  0.500
Rh  0.000  0.000  0.500

Computed properties:
crystal system: tetragonal

Top of the stability list: w, leading by 45 meV/atom.

w | Below is a relaxed structure of Cd2In2S, with properties calculated at the PBE level.

abc: 7.464 7.464 4.657
angles: 90.00 90.00 90.00
Element x y z (fractional)
Cd  0.154  0.346  0.000
Cd  0.346  0.846  0.000
Cd  0.654  0.154  0.000
Cd  0.846  0.654  0.000
In  0.157  0.657  0.500
In  0.343  0.157  0.500
In  0.657  0.843  0.500
In  0.843  0.343  0.500
S  0.000  0.000  0.500
S  0.500  0.500  0.500

Computed properties:
crystal system: tetragonal

x | Below is a relaxed structure of Cd2In2S, with properties calculated at the PBE level.

abc: 7.316 7.316 4.748
angles: 90.00 90.00 90.00
Element x y z (fractional)
Cd  0.141  0.359  0.000
Cd  0.359  0.859  0.000
Cd  0.641  0.141  0.000
Cd  0.859  0.641  0.000
In  0.166  0.666  0.500
In  0.334  0.166  0.500
In  0.666  0.834  0.500
In  0.834  0.334  0.500
S  0.000  0.000  0.000
S  0.500  0.500  0.000

Computed properties:
crystal system: tetragonal

Top of the stability list: x, leading by 19 meV/atom.

w | Below is a relaxed structure of Cd2InS, with properties calculated at the PBE level.

abc: 7.261 7.261 7.261
angles: 90.00 90.00 90.00
Element x y z (fractional)
Cd  0.250  0.250  0.250
Cd  0.250  0.250  0.750
Cd  0.250  0.750  0.250
Cd  0.250  0.750  0.750
Cd  0.750  0.250  0.250
Cd  0.750  0.250  0.750
Cd  0.750  0.750  0.250
Cd  0.750  0.750  0.750
In  0.000  0.000  0.000
In  0.000  0.500  0.500
In  0.500  0.000  0.500
In  0.500  0.500  0.000
S  0.000  0.000  0.500
S  0.000  0.500  0.000
S  0.500  0.000  0.000
S  0.500  0.500  0.500

Computed properties:
crystal system: cubic

x | Below is a relaxed structure of Cd2InS, with properties calculated at the PBE level.

abc: 7.066 7.066 9.189
angles: 90.00 90.00 90.00
Element x y z (fractional)
Cd  0.213  0.250  0.125
Cd  0.250  0.713  0.375
Cd  0.250  0.787  0.875
Cd  0.287  0.250  0.625
Cd  0.713  0.750  0.625
Cd  0.750  0.213  0.875
Cd  0.750  0.287  0.375
Cd  0.787  0.750  0.125
In  0.000  0.000  0.500
In  0.000  0.500  0.750
In  0.500  0.000  0.250
In  0.500  0.500  0.000
S  0.000  0.000  0.000
S  0.000  0.500  0.250
S  0.500  0.000  0.750
S  0.500  0.500  0.500

Computed properties:
crystal system: tetragonal

Top of the stability list: x, leading by 228 meV/atom.